Record 1
A crystal of ScMo2Br relaxed with PBEsol, computed with meta-GGA SCAN.

For the formation energy (no corrections), the calculation gives 11.8 kcal/mol of atoms. As for the offset from the most stable computed form: 125.3 meV/atom.

a = 3.0768 Å, b = 4.4988 Å, c = 5.2022 Å
α = 90.00°, β = 90.00°, γ = 90.00°
Element x y z (fractional)
Sc 0.0000 0.0000 0.0000
Mo 0.5000 0.5000 0.2166
Mo 0.5000 0.5000 0.7834
Br 0.0000 0.0000 0.5000

Record 2
A crystal of KBeMo3 relaxed with PBEsol, computed with meta-GGA SCAN.

The calculation puts the formation energy from the elements at 3367 meV per atom.

a = 4.3758 Å, b = 4.3758 Å, c = 4.3758 Å
α = 90.00°, β = 90.00°, γ = 90.00°
Element x y z (fractional)
K 0.0000 0.0000 0.0000
Be 0.5000 0.5000 0.5000
Mo 0.0000 0.0000 0.5000
Mo 0.0000 0.5000 0.0000
Mo 0.5000 0.0000 0.0000

Record 3
A crystal of TlPRu3 relaxed with PBEsol, computed with meta-GGA SCAN.

The calculation puts the formation energy from the elements at 2583 meV per atom.

a = 4.8777 Å, b = 4.8777 Å, c = 4.8777 Å
α = 90.00°, β = 90.00°, γ = 90.00°
Element x y z (fractional)
Tl 0.0000 0.0000 0.0000
P 0.5000 0.5000 0.5000
Ru 0.0000 0.0000 0.5000
Ru 0.0000 0.5000 0.0000
Ru 0.5000 0.0000 0.0000

Record 4
A crystal of YMg2Sc relaxed with PBEsol, computed with meta-GGA SCAN.

The calculation puts the formation energy from the elements at -3 meV per atom. As for the offset from the most stable computed form: 81.1 meV/atom.

a = 3.2238 Å, b = 5.0035 Å, c = 6.3922 Å
α = 90.00°, β = 104.38°, γ = 90.00°
Element x y z (fractional)
Y 0.0000 0.0000 0.0000
Mg 0.6144 0.5000 0.2313
Mg 0.7466 0.0000 0.4914
Sc 0.3531 0.5000 0.7062

Record 5
A crystal of SiPbO3 relaxed with PBEsol, computed with meta-GGA SCAN.

For the formation energy (no corrections), the calculation gives -54.1 kcal/mol of atoms.

a = 11.1923 Å, b = 7.0375 Å, c = 12.9855 Å
α = 90.00°, β = 119.46°, γ = 90.00°
Element x y z (fractional)
Si 0.0368 0.1265 0.1534
Si 0.0368 0.8735 0.6534
Si 0.2513 0.1788 0.5372
Si 0.2513 0.8212 0.0372
Si 0.3617 0.4065 0.3904
Si 0.3617 0.5935 0.8904
Si 0.6383 0.4065 0.1096
Si 0.6383 0.5935 0.6096
Si 0.7487 0.1788 0.9628
Si 0.7487 0.8212 0.4628
Si 0.9632 0.1265 0.3466
Si 0.9632 0.8735 0.8466
Pb 0.0626 0.3825 0.6525
Pb 0.0626 0.6175 0.1525
Pb 0.3024 0.3061 0.0978
Pb 0.3024 0.6939 0.5978
Pb 0.3734 0.0589 0.8259
Pb 0.3734 0.9411 0.3259
Pb 0.6266 0.0589 0.6741
Pb 0.6266 0.9411 0.1741
Pb 0.6976 0.3061 0.4022
Pb 0.6976 0.6939 0.9022
Pb 0.9374 0.3825 0.8475
Pb 0.9374 0.6175 0.3475
O 0.0000 0.2278 0.2500
O 0.0000 0.7722 0.7500
O 0.0994 0.2927 0.1065
O 0.0994 0.7073 0.6065
O 0.1124 0.0514 0.4562
O 0.1124 0.9486 0.9562
O 0.1382 0.0541 0.7102
O 0.1382 0.9459 0.2102
O 0.2180 0.3707 0.5873
O 0.2180 0.6293 0.0873
O 0.2531 0.4229 0.8316
O 0.2531 0.5771 0.3316
O 0.3165 0.2337 0.4514
O 0.3165 0.7663 0.9514
O 0.3624 0.0432 0.6433
O 0.3624 0.9568 0.1433
O 0.4024 0.2866 0.3034
O 0.4024 0.7134 0.8034
O 0.5000 0.5000 0.0000
O 0.5000 0.5000 0.5000
O 0.5976 0.2866 0.1966
O 0.5976 0.7134 0.6966
O 0.6376 0.0432 0.8567
O 0.6376 0.9568 0.3567
O 0.6835 0.2337 0.0486
O 0.6835 0.7663 0.5486
O 0.7469 0.4229 0.6684
O 0.7469 0.5771 0.1684
O 0.7820 0.3707 0.9127
O 0.7820 0.6293 0.4127
O 0.8618 0.0541 0.7898
O 0.8618 0.9459 0.2898
O 0.8876 0.0514 0.0438
O 0.8876 0.9486 0.5438
O 0.9006 0.2927 0.3935
O 0.9006 0.7073 0.8935

Record 6
A crystal of MoIr2Ru relaxed with PBEsol, computed with meta-GGA SCAN.

The calculation puts the formation energy from the elements at -277 meV per atom. As for the offset from the most stable computed form: 45.5 meV/atom.

a = 4.7012 Å, b = 4.7012 Å, c = 4.7012 Å
α = 131.95°, β = 131.95°, γ = 70.30°
Element x y z (fractional)
Mo 0.0000 0.0000 0.0000
Ir 0.2500 0.7500 0.5000
Ir 0.7500 0.2500 0.5000
Ru 0.5000 0.5000 0.0000

Record 7
A crystal of CdPSe relaxed with PBEsol, computed with meta-GGA SCAN.

For the formation energy (no corrections), the calculation gives 12.4 kcal/mol of atoms. As for the offset from the most stable computed form: 46.1 meV/atom.

a = 3.0309 Å, b = 3.0309 Å, c = 7.5929 Å
α = 90.00°, β = 90.00°, γ = 120.00°
Element x y z (fractional)
Cd 0.0000 0.0000 0.0000
P 0.3333 0.6667 0.7199
Se 0.6667 0.3333 0.3088

Record 8
A crystal of Cd2Rh relaxed with PBEsol, computed with meta-GGA SCAN.

The calculation puts the formation energy from the elements at -117 meV per atom.

a = 7.2619 Å, b = 7.2619 Å, c = 4.5754 Å
α = 90.00°, β = 90.00°, γ = 155.03°
Element x y z (fractional)
Cd 0.0607 0.9393 0.7500
Cd 0.2685 0.7315 0.2500
Cd 0.7315 0.2685 0.7500
Cd 0.9393 0.0607 0.2500
Rh 0.3954 0.6046 0.7500
Rh 0.6046 0.3954 0.2500